No. 1
# Pr2ThRu2

Crystalline Pr2ThRu2 at its relaxed geometry (PBE, Alexandria via LeMat-Bulk).

Unit cell a=6.4556 b=6.4556 c=7.5638 alpha=80.41 beta=80.41 gamma=58.60
Element x y z (fractional)
Pr 0.4507 0.2335 0.1492
Pr 0.7665 0.5493 0.3508
Pr 0.5493 0.7665 0.8508
Pr 0.2335 0.4507 0.6492
Th 0.0721 0.9279 0.2500
Th 0.9279 0.0721 0.7500
Ru 0.7134 0.9702 0.5254
Ru 0.0298 0.2866 0.9746
Ru 0.2866 0.0298 0.4746
Ru 0.9702 0.7134 0.0254

Summary:
formation energy: -0.30 eV/atom
E_tot: -7.408 eV per atom


No. 2
# Pr3ThRu8

Crystalline Pr3ThRu8 at its relaxed geometry (PBE, Alexandria via LeMat-Bulk).

Unit cell a=5.4255 b=5.4255 c=9.4667 alpha=73.35 beta=73.35 gamma=60.00
Element x y z (fractional)
Pr 0.3748 0.3748 0.8755
Pr 0.0010 0.0010 0.9970
Pr 0.4988 0.4988 0.5035
Th 0.8752 0.8752 0.3745
Ru 0.9358 0.4376 0.1891
Ru 0.4387 0.9376 0.6861
Ru 0.4376 0.4376 0.1891
Ru 0.9376 0.9376 0.6861
Ru 0.1876 0.1876 0.4373
Ru 0.6877 0.6877 0.9368
Ru 0.4376 0.9358 0.1891
Ru 0.9376 0.4387 0.6861

Summary:
formation energy: -0.16 eV/atom
E_tot: -8.154 eV per atom


No. 3
# Pr2ThRu

Crystalline Pr2ThRu at its relaxed geometry (PBE, Alexandria via LeMat-Bulk).

Unit cell a=3.5422 b=3.5422 c=11.2510 alpha=80.94 beta=80.94 gamma=60.00
Element x y z (fractional)
Pr 0.1057 0.1057 0.6830
Pr 0.8943 0.8943 0.3170
Ru 0.5000 0.5000 0.5000
Th 0.0000 0.0000 0.0000

Summary:
relative energy among the computed polymorphs: 538 meV/atom
formation energy: 0.28 eV/atom
E_tot: -6.279 eV per atom


No. 4
# PrTh2Ru

Crystalline PrTh2Ru at its relaxed geometry (PBE, Alexandria via LeMat-Bulk).

Unit cell a=3.8590 b=3.8590 c=10.5417 alpha=79.45 beta=79.45 gamma=60.00
Element x y z (fractional)
Pr 0.0000 0.0000 0.0000
Ru 0.5000 0.5000 0.5000
Th 0.1125 0.1125 0.6625
Th 0.8875 0.8875 0.3375

Summary:
relative energy among the computed polymorphs: 202 meV/atom
formation energy: 0.02 eV/atom
E_tot: -7.201 eV per atom


No. 5
# Pr5ThRu4

Crystalline Pr5ThRu4 at its relaxed geometry (PBE, Alexandria via LeMat-Bulk).

Unit cell a=4.0179 b=7.9809 c=9.2349 alpha=90.14 beta=102.56 gamma=90.00
Element x y z (fractional)
Pr 0.8432 0.7616 0.6864
Pr 0.8438 0.2369 0.6877
Pr 0.1562 0.7631 0.3123
Pr 0.5000 0.5000 0.0000
Pr 0.1568 0.2384 0.3136
Th 0.5000 0.0000 0.0000
Ru 0.3034 0.9994 0.6068
Ru 0.9997 0.7579 0.9994
Ru 0.6966 0.0006 0.3932
Ru 0.0003 0.2421 0.0006

Summary:
formation energy: -0.11 eV/atom
E_tot: -6.957 eV per atom


No. 6
# PrTh2Ru

Crystalline PrTh2Ru at its relaxed geometry (PBE, Alexandria via LeMat-Bulk).

Unit cell a=3.9870 b=3.9870 c=9.4340 alpha=77.80 beta=77.80 gamma=60.00
Element x y z (fractional)
Pr 0.5002 0.5002 0.4995
Th 0.0589 0.0589 0.8233
Th 0.2749 0.2749 0.1753
Ru 0.6660 0.6660 0.0019

Summary:
relative energy among the computed polymorphs: 0 meV/atom
formation energy: -0.18 eV/atom
E_tot: -7.403 eV per atom


No. 7
# PrTh2Ru

Crystalline PrTh2Ru at its relaxed geometry (PBE, Alexandria via LeMat-Bulk).

Unit cell a=3.6394 b=3.6394 c=8.5478 alpha=90.00 beta=90.00 gamma=90.00
Element x y z (fractional)
Pr 0.5000 0.5000 0.5000
Ru 0.5000 0.5000 0.0000
Th 0.0000 0.0000 0.8081
Th 0.0000 0.0000 0.1919

Summary:
relative energy among the computed polymorphs: 77 meV/atom
formation energy: -0.10 eV/atom
E_tot: -7.326 eV per atom


No. 8
# PrThRu

Crystalline PrThRu at its relaxed geometry (PBE, Alexandria via LeMat-Bulk).

Unit cell a=4.9438 b=4.9438 c=4.9438 alpha=60.00 beta=60.00 gamma=60.00
Element x y z (fractional)
Pr 0.0000 0.0000 0.0000
Ru 0.2500 0.2500 0.2500
Th 0.5000 0.5000 0.5000

Summary:
relative energy among the computed polymorphs: 42 meV/atom
formation energy: -0.14 eV/atom
E_tot: -7.299 eV per atom


No. 9
# PrThRu

Crystalline PrThRu at its relaxed geometry (PBE, Alexandria via LeMat-Bulk).

Unit cell a=3.6278 b=3.6278 c=6.4195 alpha=106.41 beta=106.41 gamma=90.00
Element x y z (fractional)
Pr 0.0107 0.0107 0.0214
Ru 0.6893 0.6893 0.3785
Th 0.3000 0.3000 0.6001

Summary:
relative energy among the computed polymorphs: 0 meV/atom
formation energy: -0.18 eV/atom
E_tot: -7.341 eV per atom


No. 10
# Pr2ThRu

Crystalline Pr2ThRu at its relaxed geometry (PBE, Alexandria via LeMat-Bulk).

Unit cell a=6.5496 b=7.3268 c=10.1075 alpha=90.00 beta=90.00 gamma=90.00
Element x y z (fractional)
Pr 0.1750 0.6706 0.0666
Pr 0.3250 0.1706 0.4334
Pr 0.8250 0.3294 0.5666
Pr 0.6750 0.8294 0.9334
Pr 0.8250 0.3294 0.9334
Pr 0.6750 0.8294 0.5666
Pr 0.1750 0.6706 0.4334
Pr 0.3250 0.1706 0.0666
Th 0.6691 0.5524 0.2500
Th 0.8309 0.0524 0.2500
Th 0.3309 0.4476 0.7500
Th 0.1691 0.9476 0.7500
Ru 0.0170 0.3661 0.2500
Ru 0.4830 0.8661 0.2500
Ru 0.9830 0.6339 0.7500
Ru 0.5170 0.1339 0.7500

Summary:
relative energy among the computed polymorphs: 0 meV/atom
formation energy: -0.25 eV/atom
E_tot: -6.817 eV per atom


No. 11
# Pr12TlRu6

Crystalline Pr12TlRu6 at its relaxed geometry (PBE, Alexandria via LeMat-Bulk).

Unit cell a=8.8880 b=8.8880 c=8.8880 alpha=109.47 beta=109.47 gamma=109.47
Element x y z (fractional)
Pr 0.2999 0.1036 0.8037
Pr 0.2999 0.4961 0.1963
Pr 0.7001 0.5039 0.8037
Pr 0.7001 0.8964 0.1963
Pr 0.1036 0.8037 0.2999
Pr 0.4961 0.1963 0.2999
Pr 0.5039 0.8037 0.7001
Pr 0.8964 0.1963 0.7001
Pr 0.8037 0.2999 0.1036
Pr 0.1963 0.2999 0.4961
Pr 0.8037 0.7001 0.5039
Pr 0.1963 0.7001 0.8964
Tl 0.0000 0.0000 0.0000
Ru 0.3802 0.5000 0.8802
Ru 0.6198 0.5000 0.1198
Ru 0.5000 0.8802 0.3802
Ru 0.5000 0.1198 0.6198
Ru 0.8802 0.3802 0.5000
Ru 0.1198 0.6198 0.5000

Summary:
formation energy: -0.16 eV/atom
E_tot: -6.229 eV per atom


No. 12
# Pr4Tl3Ru

Crystalline Pr4Tl3Ru at its relaxed geometry (PBE, Alexandria via LeMat-Bulk).

Unit cell a=3.6207 b=3.6207 c=17.3308 alpha=90.00 beta=90.00 gamma=90.00
Element x y z (fractional)
Pr 0.0000 0.0000 0.9006
Pr 0.0000 0.0000 0.0993
Pr 0.0000 0.0000 0.3692
Pr 0.0000 0.0000 0.6308
Ru 0.5000 0.5000 0.0000
Tl 0.5000 0.5000 0.2406
Tl 0.5000 0.5000 0.5000
Tl 0.5000 0.5000 0.7594

Summary:
formation energy: -0.31 eV/atom
E_tot: -4.743 eV per atom


No. 13
# Pr6TlRu

Crystalline Pr6TlRu at its relaxed geometry (PBE, Alexandria via LeMat-Bulk).

Unit cell a=6.6654 b=8.2065 c=6.6564 alpha=51.94 beta=80.69 gamma=74.79
Element x y z (fractional)
Pr 0.7887 0.5660 0.6268
Pr 0.7887 0.1928 0.3732
Pr 0.2113 0.8072 0.6268
Pr 0.2113 0.4340 0.3732
Pr 0.6369 0.7865 0.0000
Pr 0.3631 0.2135 0.0000
Tl 0.0000 0.0000 0.0000
Ru 0.5000 0.5000 0.0000

Summary:
formation energy: -0.03 eV/atom
E_tot: -5.072 eV per atom


No. 14
# Pr3TlRu

Crystalline Pr3TlRu at its relaxed geometry (PBE, Alexandria via LeMat-Bulk).

Unit cell a=5.7664 b=6.8866 c=9.1514 alpha=109.72 beta=90.00 gamma=114.75
Element x y z (fractional)
Pr 0.8930 0.7860 0.7774
Pr 0.1070 0.2140 0.2226
Pr 0.6163 0.2327 0.9033
Pr 0.3837 0.7673 0.0967
Pr 0.8395 0.6790 0.3485
Pr 0.1605 0.3210 0.6515
Tl 0.3889 0.7778 0.5413
Tl 0.6111 0.2222 0.4587
Ru 0.1386 0.2772 0.9364
Ru 0.8614 0.7228 0.0636

Summary:
relative energy among the computed polymorphs: 39 meV/atom
formation energy: -0.22 eV/atom
E_tot: -5.412 eV per atom


No. 15
# Pr3TlRu

Crystalline Pr3TlRu at its relaxed geometry (PBE, Alexandria via LeMat-Bulk).

Unit cell a=5.4932 b=5.4932 c=5.4932 alpha=90.00 beta=90.00 gamma=90.00
Element x y z (fractional)
Pr 0.0000 0.5000 0.0000
Pr 0.0000 0.0000 0.5000
Pr 0.5000 0.0000 0.0000
Ru 0.0000 0.0000 0.0000
Tl 0.5000 0.5000 0.5000

Summary:
relative energy among the computed polymorphs: 147 meV/atom
formation energy: -0.11 eV/atom
E_tot: -5.304 eV per atom


No. 16
# Pr4TlRu

Crystalline Pr4TlRu at its relaxed geometry (PBE, Alexandria via LeMat-Bulk).

Unit cell a=6.4496 b=9.4450 c=8.0527 alpha=115.15 beta=99.44 gamma=113.78
Element x y z (fractional)
Pr 0.1022 0.2017 0.8351
Pr 0.7679 0.7221 0.6669
Pr 0.2329 0.6334 0.8351
Pr 0.3990 0.9448 0.6669
Pr 0.6010 0.0552 0.3331
Pr 0.7671 0.3666 0.1649
Pr 0.2321 0.2779 0.3331
Pr 0.8978 0.7983 0.1649
Tl 0.3719 0.6219 0.2438
Tl 0.6281 0.3781 0.7562
Ru 0.2502 0.0002 0.0005
Ru 0.7498 0.9998 0.9995

Summary:
relative energy among the computed polymorphs: 35 meV/atom
formation energy: -0.24 eV/atom
E_tot: -5.366 eV per atom


No. 17
# Pr12Tl6Ru

Crystalline Pr12Tl6Ru at its relaxed geometry (PBE, Alexandria via LeMat-Bulk).

Unit cell a=8.6493 b=8.6493 c=8.6493 alpha=94.17 beta=94.17 gamma=94.17
Element x y z (fractional)
Pr 0.8009 0.5747 0.4551
Pr 0.4551 0.8009 0.5747
Pr 0.5747 0.4551 0.8009
Pr 0.1991 0.4253 0.5449
Pr 0.5449 0.1991 0.4253
Pr 0.4253 0.5449 0.1991
Pr 0.9740 0.0824 0.3151
Pr 0.9176 0.6849 0.0260
Pr 0.6849 0.0260 0.9176
Pr 0.0260 0.9176 0.6849
Pr 0.0824 0.3151 0.9740
Pr 0.3151 0.9740 0.0824
Tl 0.6540 0.8603 0.2699
Tl 0.7301 0.3460 0.1397
Tl 0.1397 0.7301 0.3460
Tl 0.3460 0.1397 0.7301
Tl 0.2699 0.6540 0.8603
Tl 0.8603 0.2699 0.6540
Ru 0.0000 0.0000 0.0000

Summary:
formation energy: -0.17 eV/atom
E_tot: -4.425 eV per atom


No. 18
# Pr3Tl2Ru

Crystalline Pr3Tl2Ru at its relaxed geometry (PBE, Alexandria via LeMat-Bulk).

Unit cell a=8.0589 b=6.8901 c=8.2559 alpha=84.21 beta=80.06 gamma=54.21
Element x y z (fractional)
Pr 0.4546 0.6378 0.7745
Pr 0.3267 0.0000 0.1693
Pr 0.5454 0.3622 0.2255
Pr 0.9077 0.6378 0.2255
Pr 0.0923 0.3622 0.7745
Pr 0.6733 0.0000 0.8307
Tl 0.0000 0.0000 0.0000
Tl 0.5000 0.0000 0.5000
Tl 0.1341 0.7318 0.5000
Tl 0.8659 0.2682 0.5000
Ru 0.7060 0.5879 0.0000
Ru 0.2940 0.4121 0.0000

Summary:
formation energy: -0.22 eV/atom
E_tot: -4.941 eV per atom


No. 19
# Pr5TlRu2

Crystalline Pr5TlRu2 at its relaxed geometry (PBE, Alexandria via LeMat-Bulk).

Unit cell a=8.0339 b=8.0339 c=9.1008 alpha=116.19 beta=116.19 gamma=90.00
Element x y z (fractional)
Pr 0.5300 0.7077 0.7377
Pr 0.7923 0.9700 0.2623
Pr 0.0000 0.0000 0.0000
Pr 0.5000 0.5000 0.0000
Pr 0.2077 0.0300 0.7377
Pr 0.7077 0.2077 0.7377
Pr 0.0300 0.5300 0.7377
Pr 0.2923 0.7923 0.2623
Pr 0.9700 0.4700 0.2623
Pr 0.4700 0.2923 0.2623
Tl 0.7500 0.7500 0.5000
Tl 0.2500 0.2500 0.5000
Ru 0.1410 0.3590 0.0000
Ru 0.6410 0.1410 0.0000
Ru 0.3590 0.8590 0.0000
Ru 0.8590 0.6410 0.0000

Summary:
formation energy: -0.25 eV/atom
E_tot: -5.855 eV per atom


No. 20
# Pr6TlRu2

Crystalline Pr6TlRu2 at its relaxed geometry (PBE, Alexandria via LeMat-Bulk).

Unit cell a=8.8393 b=8.8393 c=8.8393 alpha=105.23 beta=110.23 gamma=113.05
Element x y z (fractional)
Pr 0.5311 0.7140 0.8171
Pr 0.4689 0.2860 0.1829
Pr 0.1031 0.2860 0.8171
Pr 0.8969 0.7140 0.1829
Pr 0.7942 0.7636 0.5578
Pr 0.2058 0.2364 0.4422
Pr 0.2058 0.7636 0.9693
Pr 0.7942 0.2364 0.0307
Pr 0.6877 0.3598 0.6722
Pr 0.3123 0.6402 0.3278
Pr 0.3123 0.9845 0.6722
Pr 0.6877 0.0155 0.3278
Tl 0.0000 0.5000 0.5000
Tl 0.0000 0.0000 0.0000
Ru 0.5000 0.3769 0.8769
Ru 0.5000 0.6231 0.1231
Ru 0.6722 0.0000 0.6722
Ru 0.3278 0.0000 0.3278

Summary:
relative energy among the computed polymorphs: 0 meV/atom
formation energy: -0.23 eV/atom
E_tot: -5.741 eV per atom


No. 21
# Pr3TlRu

Crystalline Pr3TlRu at its relaxed geometry (PBE, Alexandria via LeMat-Bulk).

Unit cell a=6.1398 b=6.1398 c=8.9505 alpha=102.28 beta=102.27 gamma=112.35
Element x y z (fractional)
Pr 0.3003 0.8003 0.1007
Pr 0.6997 0.1997 0.8993
Pr 0.0813 0.1954 0.2766
Pr 0.9187 0.8046 0.7234
Pr 0.6953 0.5813 0.2767
Pr 0.3047 0.4187 0.7233
Tl 0.7117 0.2117 0.5000
Tl 0.2883 0.7883 0.5000
Ru 0.2500 0.2500 0.0000
Ru 0.7500 0.7500 0.0000

Summary:
relative energy among the computed polymorphs: 0 meV/atom
formation energy: -0.25 eV/atom
E_tot: -5.450 eV per atom


No. 22
# Pr4Tl2Ru

Crystalline Pr4Tl2Ru at its relaxed geometry (PBE, Alexandria via LeMat-Bulk).

Unit cell a=3.8249 b=6.7479 c=9.4555 alpha=111.05 beta=90.00 gamma=90.00
Element x y z (fractional)
Pr 0.5000 0.2376 0.9202
Pr 0.0000 0.4455 0.3164
Pr 0.5000 0.9052 0.2227
Pr 0.0000 0.6973 0.8265
Tl 0.5000 0.3045 0.5689
Tl 0.5000 0.8383 0.5741
Ru 0.0000 0.0714 0.0715

Summary:
formation energy: -0.17 eV/atom
E_tot: -4.899 eV per atom


No. 23
# Pr6TlRu2

Crystalline Pr6TlRu2 at its relaxed geometry (PBE, Alexandria via LeMat-Bulk).

Unit cell a=5.2505 b=5.9220 c=9.4979 alpha=78.84 beta=90.00 gamma=116.31
Element x y z (fractional)
Pr 0.9673 0.9346 0.8485
Pr 0.7040 0.4080 0.1612
Pr 0.2960 0.5920 0.8388
Pr 0.6667 0.3335 0.6198
Pr 0.3333 0.6665 0.3802
Pr 0.0327 0.0654 0.1515
Tl 0.0000 0.0000 0.5000
Ru 0.6156 0.2312 0.9045
Ru 0.3844 0.7688 0.0955

Summary:
relative energy among the computed polymorphs: 51 meV/atom
formation energy: -0.18 eV/atom
E_tot: -5.690 eV per atom